First-principles (PBE) data for Ta2FeIr after structural relaxation, as listed in Alexandria via LeMat-Bulk.

abc: 4.4430 4.4430 4.4430
angles: 60.00 60.00 60.00
Last column: nearest neighbours and their distance in Å.
Fractional positions:
Ta (0.0000, 0.0000, 0.0000)  4 Ta 2.72, 4 Fe 2.72
Ta (0.2500, 0.2500, 0.2500)  4 Ta 2.72, 4 Ir 2.72
Fe (0.7500, 0.7500, 0.7500)  4 Ir 2.72, 4 Ta 2.72
Ir (0.5000, 0.5000, 0.5000)  4 Ta 2.72, 4 Fe 2.72

Summary:
Raw total energy   -10.397 eV/atom
E_form   -0.140 eV per atom

---

First-principles (PBE) data for HfTi3Ge after structural relaxation, as listed in Alexandria via LeMat-Bulk.

abc: 4.7203 4.7203 4.7203
angles: 90.00 90.00 90.00
Last column: nearest neighbours and their distance in Å.
Fractional positions:
Hf (0.0000, 0.0000, 0.0000)  12 Ti 3.34
Ti (0.0000, 0.5000, 0.5000)  2 Ge 2.36
Ti (0.5000, 0.0000, 0.5000)  2 Ge 2.36
Ti (0.5000, 0.5000, 0.0000)  2 Ge 2.36
Ge (0.5000, 0.5000, 0.5000)  6 Ti 2.36

Summary:
Raw total energy   -7.254 eV/atom
E_form   0.397 eV per atom

---

First-principles (PBE) data for Hf2TcHRh after structural relaxation, as listed in Alexandria via LeMat-Bulk.

abc: 4.5624 4.5624 3.4868
angles: 90.00 90.00 90.00
Last column: nearest neighbours and their distance in Å.
Fractional positions:
Hf (0.0000, 0.5000, 0.0000)  2 H 2.28
Hf (0.5000, 0.0000, 0.0000)  2 H 2.28
Tc (0.0000, 0.0000, 0.5000)  8 Hf 2.87
H (0.5000, 0.5000, 0.0000)  2 Rh 1.74
Rh (0.5000, 0.5000, 0.5000)  2 H 1.74

Summary:
Raw total energy   -8.774 eV/atom

---

First-principles (PBE) data for GaAgSn3 after structural relaxation, as listed in Alexandria via LeMat-Bulk.

abc: 6.9632 6.9632 6.5418
angles: 115.58 115.58 81.10
Last column: nearest neighbours and their distance in Å.
Fractional positions:
Ga (0.0470, 0.0470, 0.2535)  2 Ag 2.71-2.77, 1 Ga 2.87, 2 Sn 3.01
Ga (0.9530, 0.9530, 0.7465)  2 Ag 2.71-2.77, 1 Ga 2.87, 2 Sn 3.01
Ag (0.2552, 0.2552, 0.1254)  2 Ga 2.71-2.77, 6 Sn 2.88-3.02
Ag (0.7448, 0.7448, 0.8746)  2 Ga 2.71-2.77, 6 Sn 2.88-3.02
Sn (0.0232, 0.6237, 0.3023)  2 Ag 2.88-3.02, 2 Ga 3.01-3.13, 2 Sn 3.11-3.15
Sn (0.3763, 0.9768, 0.6977)  2 Ag 2.88-3.02, 2 Ga 3.01-3.13, 2 Sn 3.11-3.15
Sn (0.4140, 0.4140, 0.6806)  2 Ag 2.97-3.01, 2 Sn 3.15, 1 Ga 3.25
Sn (0.5860, 0.5860, 0.3194)  2 Ag 2.97-3.01, 2 Sn 3.15, 1 Ga 3.25
Sn (0.6237, 0.0232, 0.3023)  2 Ag 2.88-3.02, 2 Ga 3.01-3.13, 2 Sn 3.11-3.15
Sn (0.9768, 0.3763, 0.6977)  2 Ag 2.88-3.02, 2 Ga 3.01-3.13, 2 Sn 3.11-3.15

Summary:
Raw total energy   -3.499 eV/atom
E_form   0.079 eV per atom